[1]
15
Lattice="6.230 0.000 0.000 0.000 8.156 -4.710 0.001 0.000 9.420" Properties=species:S:1:pos:R:3 comment="Tl8SnPb6, optimized geometry, DFT PBE" dft_energy_ev_per_atom=-2.935 pbc="T T T"
Tl 1.143 7.838 2.294
Pb 1.973 4.317 3.557
Tl 5.088 0.318 2.416
Tl 1.136 5.437 -0.001
Pb 1.972 0.922 3.902
Tl 5.089 5.906 3.778
Pb 1.973 2.918 6.670
Tl 5.089 1.932 7.936
Pb 4.259 7.234 0.807
Tl 1.142 2.250 0.932
Pb 4.258 5.238 -1.960
Tl 5.095 2.719 4.710
Sn 3.116 0.000 9.420
Pb 4.258 3.840 1.153
Tl 1.142 6.224 -3.227

[2]
4
Lattice="-0.427 4.269 -2.069 -2.314 0.419 -4.142 -4.242 2.160 -0.150" Properties=species:S:1:pos:R:3 comment="ErZrGaFe, optimized geometry, DFT PBE" dft_energy_ev_per_atom=-6.375 pbc="T T T"
Fe -1.746 1.712 -1.590
Zr -3.492 3.424 -3.180
Ga -5.237 5.135 -4.770
Er 0.000 0.000 0.000

[3]
15
Lattice="7.533 0.000 3.402 3.767 8.281 1.701 0.359 0.000 9.248" Properties=species:S:1:pos:R:3 comment="Ac4TbSm10, optimized geometry, DFT PBE" dft_energy_ev_per_atom=-4.299 pbc="T T T"
Sm 5.282 6.571 4.262
Ac 1.907 0.002 5.819
Sm 3.946 4.141 6.325
Sm 6.377 1.711 10.089
Ac 7.532 3.763 3.403
Sm 8.377 6.571 5.659
Sm 4.610 1.711 3.959
Ac 9.751 8.279 8.532
Sm 10.143 6.571 11.790
Sm 7.712 4.141 8.026
Ac 4.126 4.518 10.947
Sm 7.048 6.571 10.392
Sm 3.281 1.711 8.691
Tb 0.000 0.000 0.000
Sm 1.515 1.711 2.561

[4]
4
Lattice="-6.638 3.906 0.433 -7.222 -1.509 -2.253 6.374 -2.315 3.678" Properties=species:S:1:pos:R:3 comment="Sr2FeAs, optimized geometry, DFT PBE" dft_energy_ev_per_atom=-4.316 pbc="T T T"
Sr -0.036 0.006 -0.005
Fe -2.425 1.192 1.755
As -8.076 1.397 -1.060
Sr -3.880 -1.314 0.259

[5]
4
Lattice="6.154 0.004 1.112 -0.002 3.742 0.001 0.919 0.000 4.923" Properties=species:S:1:pos:R:3 comment="La2BrCl, optimized geometry, DFT PBE" dft_energy_ev_per_atom=-4.742 formation_energy_uncorrected_ev_per_atom=-1.3984 relative_energy_ev_per_atom=0.023 pbc="T T T"
La 1.396 1.628 1.466
Cl 4.473 1.629 2.019
La 4.929 3.500 4.481
Br 1.851 3.498 3.928

[6]
18
Lattice="-4.631 -6.399 -0.053 3.050 -2.146 -7.331 4.260 -3.144 7.307" Properties=species:S:1:pos:R:3 comment="Dy5Tl2In2, optimized geometry, DFT PBE" dft_energy_ev_per_atom=-4.049 relative_energy_ev_per_atom=0.000 pbc="T T T"
In -1.349 -2.664 -0.942
In 1.326 -2.148 -4.594
Dy 2.838 -3.756 3.973
Tl 2.452 -1.788 1.544
Tl 1.017 -5.629 2.071
Dy 0.116 -6.669 4.923
Tl 1.662 -6.060 -2.149
In -0.232 -5.881 -6.443
Tl 4.857 -3.502 -1.568
Dy -0.954 -5.850 -0.377
Dy -0.791 -4.272 -3.692
Dy -0.160 -7.933 -4.051
Dy 3.632 -5.839 0.298
Dy 2.562 -5.020 -5.001
Dy 1.768 -2.937 -1.327
In -2.907 -6.397 -2.791
Dy 0.000 0.000 0.000
Dy 0.910 -8.752 1.248

[7]
5
Lattice="6.578 0.000 0.000 0.000 6.578 0.000 0.000 0.000 6.578" Properties=species:S:1:pos:R:3 comment="CsBi3H, optimized geometry, DFT PBE" dft_energy_ev_per_atom=-1.466 relative_energy_ev_per_atom=1.496 pbc="T T T"
Bi 0.000 3.289 0.000
Cs 0.000 0.000 0.000
Bi 0.000 0.000 3.289
Bi 3.289 0.000 0.000
H 3.289 3.289 3.289

[8]
4
Lattice="4.435 0.000 0.000 0.000 4.507 0.000 0.000 0.000 4.507" Properties=species:S:1:pos:R:3 comment="Pu2RuPb, optimized geometry, DFT PBE" dft_energy_ev_per_atom=-10.379 relative_energy_ev_per_atom=0.226 pbc="T T T"
Pu 0.000 2.253 0.000
Ru 2.218 2.253 2.253
Pb 2.218 0.000 0.000
Pu 0.000 0.000 2.253